No. 1
Below is a relaxed La3CoIr crystal, with properties calculated at the GGA-PBE level.

Lattice parameters (Å, degrees): 11.9126 13.4829 6.9884 90.00 103.63 90.00
Space group C2/c (No. 15)
Inequivalent atoms, fractional coordinates:
1 La 0.0920 0.1070 0.0603 (multiplicity 8)
2 La 0.1402 0.2919 0.6179 (multiplicity 8)
3 La 0.1427 0.4279 0.1443 (multiplicity 8)
4 Co 0.0000 0.2518 0.2500 (multiplicity 4)
5 Co 0.0000 0.4265 0.7500 (multiplicity 4)
6 Ir 0.1721 0.0909 0.4853 (multiplicity 8)

Properties
* E_form: -34 kJ/mol of atoms
* energy relative to the lowest polymorph listed for this composition: 0.00 eV/f.u.
* magnetic moment: 0.00 μB per cell

No. 2
Below is a relaxed La2CoIr crystal, with properties calculated at the GGA-PBE level.

Lattice parameters (Å, degrees): 3.5138 3.5138 8.1200 90.00 90.00 90.00
Space group P4mm (No. 99)
Inequivalent atoms, fractional coordinates:
1 La 0.0000 0.0000 0.0000 (multiplicity 1)
2 La 0.5000 0.5000 0.4292 (multiplicity 1)
3 Co 0.0000 0.0000 0.6785 (multiplicity 1)
4 Ir 0.5000 0.5000 0.7633 (multiplicity 1)

Properties
* E_form: -1 kJ/mol of atoms
* magnetic moment: 1.00 μB per cell